NdAsN2O | PBE | optimized geometry

Energy   -0.508 Ry per atom
Magnetic moment   0.01 μB/f.u.
Symmetry   No. 51

Cell lengths 5.4961, 3.7243, 5.5754 Å; angles 90.00, 90.00, 90.00 degrees
Positions (direct):
1 Nd 0.2500 0.0000 0.2304
2 Nd 0.7500 0.0000 0.7696
3 As 0.2500 0.5000 0.7221
4 As 0.7500 0.5000 0.2779
5 N 0.0000 0.5000 0.5000
6 N 0.2500 0.0000 0.7896
7 N 0.5000 0.5000 0.5000
8 N 0.7500 0.0000 0.2104
9 O 0.0000 0.5000 0.0000
10 O 0.5000 0.5000 0.0000